Sc3Zn2Pd after structural relaxation, computed with GGA-PBE.

Values from the calculation:
The symmetry is No. 164. Its density of states at the Fermi level is 4.8 states/eV per cell. Its energy is -5.002 eV per atom. The size of the total moment comes out at 0.000 μB per atom. The formation energy is -0.55 eV per atom.

Cell lengths 4.719, 4.719, 5.774 Å; angles 90.00, 90.00, 120.00 degrees
Positions (direct):
Sc1 0.000 0.000 0.500
Sc2 0.667 0.333 0.837
Sc3 0.333 0.667 0.163
Zn1 0.667 0.333 0.343
Zn2 0.333 0.667 0.657
Pd1 0.000 0.000 0.000



ScZn2Pd after structural relaxation, computed with GGA-PBE.

Values from the calculation:
The symmetry is No. 225. Its density of states at the Fermi level is 1.9 states/eV per cell. Its energy is -4.051 eV per atom. The size of the total moment comes out at 0.000 μB per atom. The formation energy is -0.53 eV per atom.

Cell lengths 4.482, 4.482, 4.482 Å; angles 60.00, 60.00, 60.00 degrees
Positions (direct):
Sc1 0.000 0.000 0.000
Zn1 0.250 0.250 0.250
Zn2 0.750 0.750 0.750
Pd1 0.500 0.500 0.500